Below is crystalline BaCa3Pb at its relaxed geometry, with properties calculated at the GGA-PBE level.

Geometry as POSCAR:
```
BaCa3Pb
1.0
6.180 0.000 0.000
0.000 6.180 0.000
0.000 0.000 6.180
Ba Ca Pb
1 3 1
Direct
0.000 0.000 0.000
0.000 0.500 0.500
0.500 0.000 0.500
0.500 0.500 0.000
0.500 0.500 0.500
```

* density of states at the Fermi level: 5.059 states/eV/f.u.
* E_tot: -2.4583 eV/atom
* magnetization: 1.631 μB/f.u.
* DFT formation energy: -0.131 eV/atom